[1]
Here is a geometry-optimized La5PuSe6 structure from the Alexandria database. Energies are from PBE.

It has space group C2/m (No. 12), with a = 7.4219 Å, b = 12.8692 Å, c = 7.4409 Å, α = 90.00°, β = 109.46° and γ = 90.00°. Symmetry generates all atoms from La at (0.0000, 0.0000, 0.0000), La at (0.0000, 0.1664, 0.5000), La at (0.0000, 0.3308, 0.0000), Pu at (0.0000, 0.5000, 0.5000), Se at (0.2437, 0.5000, 0.2522) and Se at (0.2449, 0.3367, 0.7452).

The calculation puts the calculated volume at 335 Å³/f.u. The calculation puts the energy relative to the elements, uncorrected at -1.923 eV/atom.

=====

[2]
Here is a geometry-optimized LaPu6Se8 structure from the Alexandria database. Energies are from PBE.

It has space group Fm-3m (No. 225), with a = 11.7801 Å, b = 11.7801 Å, c = 11.7801 Å, α = 90.00°, β = 90.00° and γ = 90.00°. Symmetry generates all atoms from La at (0.0000, 0.0000, 0.0000), Pu at (0.0000, 0.2500, 0.2500), Se at (0.0000, 0.0000, 0.2560) and Se at (0.2500, 0.2500, 0.2500).

The calculation puts the calculated volume at 409 Å³/f.u. The calculation puts the energy relative to the elements, uncorrected at -1.586 eV/atom.

=====

[3]
Here is a geometry-optimized La5Pu3Se8 structure from the Alexandria database. Energies are from PBE.

It has space group R-3m (No. 166, hexagonal axes), with a = 8.4948 Å, b = 8.4948 Å, c = 20.9258 Å, α = 90.00°, β = 90.00° and γ = 120.00°. Symmetry generates all atoms from La at (0.0000, 0.0000, 0.0000), La at (0.0000, 0.0000, 0.5000), La at (0.0000, 0.5000, 0.0000), Pu at (0.0000, 0.5000, 0.5000), Se at (0.0000, 0.0000, 0.2458) and Se at (0.0056, 0.5028, 0.7527).

The calculation puts the calculated volume at 436 Å³/f.u. The calculation puts the energy relative to the elements, uncorrected at -1.823 eV/atom.

=====

[4]
Here is a geometry-optimized La5PuSe8 structure from the Alexandria database. Energies are from PBE.

It has space group I-4 (No. 82), with a = 9.0609 Å, b = 9.0609 Å, c = 9.0295 Å, α = 90.00°, β = 90.00° and γ = 90.00°. Symmetry generates all atoms from La at (0.0000, 0.0000, 0.0000), La at (0.1259, 0.2508, 0.6222), Pu at (0.0000, 0.5000, 0.2500), Se at (0.0735, 0.1768, 0.2976) and Se at (0.0762, 0.3261, 0.9506).

The calculation puts the calculated volume at 371 Å³/f.u. The calculation puts the energy relative to the elements, uncorrected at -1.962 eV/atom.

=====

[5]
Here is a geometry-optimized LaPu4Se5 structure from the Alexandria database. Energies are from PBE.

It has space group Immm (No. 71), with a = 4.1868 Å, b = 5.9268 Å, c = 20.9212 Å, α = 90.00°, β = 90.00° and γ = 90.00°. Symmetry generates all atoms from La at (0.0000, 0.0000, 0.0000), Pu at (0.0000, 0.0000, 0.2019), Pu at (0.0000, 0.0000, 0.4003), Se at (0.0000, 0.5000, 0.0000), Se at (0.0000, 0.5000, 0.1989) and Se at (0.0000, 0.5000, 0.3951).

The calculation puts the calculated volume at 260 Å³/f.u. The calculation puts the energy relative to the elements, uncorrected at -1.616 eV/atom.

=====

[6]
Here is a geometry-optimized LaPu4Se6 structure from the Alexandria database. Energies are from PBE.

It has space group Cmcm (No. 63), with a = 4.1383 Å, b = 13.7003 Å, c = 21.0353 Å, α = 90.00°, β = 90.00° and γ = 90.00°. Symmetry generates all atoms from La at (0.0000, 0.1562, 0.2500), Pu at (0.0000, 0.0926, 0.6283), Pu at (0.0000, 0.3620, 0.5398), Se at (0.0000, 0.0000, 0.0000), Se at (0.0000, 0.1860, 0.7500), Se at (0.0000, 0.2692, 0.0881) and Se at (0.0000, 0.4537, 0.6662).

The calculation puts the calculated volume at 298 Å³/f.u. The calculation puts the energy relative to the elements, uncorrected at -1.582 eV/atom.

=====

[7]
Here is a geometry-optimized LaPu5Se6 structure from the Alexandria database. Energies are from PBE.

It has space group C2/m (No. 12), with a = 7.2413 Å, b = 12.5381 Å, c = 7.2421 Å, α = 90.00°, β = 109.46° and γ = 90.00°. Symmetry generates all atoms from La at (0.0000, 0.0000, 0.0000), Pu at (0.0000, 0.1641, 0.5000), Pu at (0.0000, 0.3328, 0.0000), Pu at (0.0000, 0.5000, 0.5000), Se at (0.2429, 0.5000, 0.2529) and Se at (0.2442, 0.3296, 0.7445).

The calculation puts the calculated volume at 310 Å³/f.u. The calculation puts the energy relative to the elements, uncorrected at -1.603 eV/atom.

=====

[8]
Here is a geometry-optimized La3PuSe4 structure from the Alexandria database. Energies are from PBE.

It has space group Cmmm (No. 65), with a = 8.5770 Å, b = 12.0987 Å, c = 4.2644 Å, α = 90.00°, β = 90.00° and γ = 90.00°. Symmetry generates all atoms from La at (0.0000, 0.0000, 0.0000), La at (0.2500, 0.2500, 0.5000), Pu at (0.0000, 0.5000, 0.0000), Se at (0.0000, 0.2541, 0.0000) and Se at (0.2417, 0.5000, 0.5000).

The energy above the lowest structure with this stoichiometry comes out at 0.022 eV per formula unit. The calculation puts the calculated volume at 221 Å³/f.u. The calculation puts the energy relative to the elements, uncorrected at -1.882 eV/atom.

=====

[9]
Here is a geometry-optimized LaPu2Se4 structure from the Alexandria database. Energies are from PBE.

It has space group Cmcm (No. 63), with a = 4.1425 Å, b = 13.6601 Å, c = 13.9281 Å, α = 90.00°, β = 90.00° and γ = 90.00°. Symmetry generates all atoms from La at (0.0000, 0.1166, 0.2500), Pu at (0.0000, 0.3669, 0.0647), Se at (0.0000, 0.0000, 0.0000), Se at (0.0000, 0.2723, 0.6232) and Se at (0.0000, 0.4596, 0.2500).

The calculation puts the calculated volume at 197 Å³/f.u. The calculation puts the energy relative to the elements, uncorrected at -1.684 eV/atom.

=====

[10]
Here is a geometry-optimized La4Pu3Se8 structure from the Alexandria database. Energies are from PBE.

It has space group C2/m (No. 12), with a = 11.9775 Å, b = 11.9892 Å, c = 8.4429 Å, α = 90.00°, β = 134.61° and γ = 90.00°. Symmetry generates all atoms from La at (0.0000, 0.0000, 0.0000), La at (0.0000, 0.5000, 0.5000), La at (0.2500, 0.2500, 0.0000), Pu at (0.0000, 0.0000, 0.5000), Pu at (0.2500, 0.2500, 0.5000), Se at (0.0000, 0.2455, 0.5000), Se at (0.0000, 0.2530, 0.0000), Se at (0.2486, 0.0000, 0.5054) and Se at (0.2503, 0.0000, 0.9944).

The calculation puts the calculated volume at 432 Å³/f.u. The calculation puts the energy relative to the elements, uncorrected at -1.793 eV/atom.

=====

[11]
Here is a geometry-optimized La2Pu3Se8 structure from the Alexandria database. Energies are from PBE.

It has space group C2/m (No. 12), with a = 14.8631 Å, b = 8.3423 Å, c = 7.1879 Å, α = 90.00°, β = 109.29° and γ = 90.00°. Symmetry generates all atoms from La at (0.2348, 0.0000, 0.1639), Pu at (0.0000, 0.2435, 0.5000), Pu at (0.0000, 0.5000, 0.0000), Se at (0.1134, 0.0000, 0.4217), Se at (0.1132, 0.5000, 0.4199) and Se at (0.1218, 0.2672, 0.9058).

The calculation puts the calculated volume at 421 Å³/f.u. The calculation puts the energy relative to the elements, uncorrected at -1.551 eV/atom.

=====

[12]
Here is a geometry-optimized La3PuSe4 structure from the Alexandria database. Energies are from PBE.

It has space group P2/c (No. 13), with a = 7.4154 Å, b = 8.5440 Å, c = 7.4017 Å, α = 90.00°, β = 109.40° and γ = 90.00°. Symmetry generates all atoms from La at (0.0000, 0.1241, 0.2500), La at (0.0000, 0.3737, 0.7500), La at (0.5000, 0.3739, 0.2500), Pu at (0.5000, 0.1229, 0.7500), Se at (0.2536, 0.3710, 0.5044) and Se at (0.2583, 0.1209, 0.9994).

The energy above the lowest structure with this stoichiometry comes out at 0.000 eV per formula unit. The calculation puts the calculated volume at 221 Å³/f.u. The calculation puts the energy relative to the elements, uncorrected at -1.885 eV/atom.

=====

[13]
Here is a geometry-optimized La4PuSe6 structure from the Alexandria database. Energies are from PBE.

It has space group R-3c (No. 167, hexagonal axes), with a = 12.0427 Å, b = 12.0427 Å, c = 14.5429 Å, α = 90.00°, β = 90.00° and γ = 120.00°. Symmetry generates all atoms from La at (0.0000, 0.0000, 0.2500), La at (0.0000, 0.3840, 0.2500), Pu at (0.0000, 0.0000, 0.0000) and Se at (0.0289, 0.2048, 0.3853).

The calculation puts the calculated volume at 304 Å³/f.u. The calculation puts the energy relative to the elements, uncorrected at -1.801 eV/atom.

=====

[14]
Here is a geometry-optimized LaPu3Se6 structure from the Alexandria database. Energies are from PBE.

It has space group P2_1/m (No. 11), with a = 11.6250 Å, b = 4.2102 Å, c = 12.0617 Å, α = 90.00°, β = 108.40° and γ = 90.00°. Symmetry generates all atoms from La at (0.0487, 0.2500, 0.1941), Pu at (0.1569, 0.2500, 0.5838), Pu at (0.3179, 0.7500, 0.9990), Pu at (0.4397, 0.2500, 0.3343), Se at (0.0853, 0.7500, 0.4062), Se at (0.1183, 0.2500, 0.9622), Se at (0.1954, 0.7500, 0.7476), Se at (0.2633, 0.7500, 0.2283), Se at (0.3957, 0.2500, 0.5568) and Se at (0.4819, 0.2500, 0.1122).

The calculation puts the calculated volume at 280 Å³/f.u. The calculation puts the energy relative to the elements, uncorrected at -1.578 eV/atom.

=====

[15]
Here is a geometry-optimized LaSm4Pu3Se8 structure from the Alexandria database. Energies are from PBE.

It has space group R-3m (No. 166, hexagonal axes), with a = 8.3442 Å, b = 8.3442 Å, c = 20.5697 Å, α = 90.00°, β = 90.00° and γ = 120.00°. Symmetry generates all atoms from La at (0.0000, 0.0000, 0.0000), Sm at (0.0000, 0.0000, 0.5000), Sm at (0.0000, 0.5000, 0.5000), Pu at (0.0000, 0.5000, 0.0000), Se at (0.0000, 0.0000, 0.2511) and Se at (0.0054, 0.5027, 0.2495).

The calculation puts the calculated volume at 413 Å³/f.u. The calculation puts the energy relative to the elements, uncorrected at -1.748 eV/atom.

=====

[16]
Here is a geometry-optimized La2SmPu3Se6 structure from the Alexandria database. Energies are from PBE.

It has space group C2/m (No. 12), with a = 18.3745 Å, b = 4.1951 Å, c = 8.4408 Å, α = 90.00°, β = 103.73° and γ = 90.00°. Symmetry generates all atoms from La at (0.1656, 0.0000, 0.3318), Sm at (0.0000, 0.5000, 0.0000), Pu at (0.0000, 0.5000, 0.5000), Pu at (0.1675, 0.0000, 0.8343), Se at (0.0036, 0.0000, 0.7502), Se at (0.1642, 0.5000, 0.5904) and Se at (0.1668, 0.5000, 0.0747).

The calculation puts the calculated volume at 316 Å³/f.u. The calculation puts the energy relative to the elements, uncorrected at -1.742 eV/atom.

=====

[17]
Here is a geometry-optimized LaSm2PuSe4 structure from the Alexandria database. Energies are from PBE.

It has space group P2/m (No. 10), with a = 7.2843 Å, b = 4.1874 Å, c = 7.2960 Å, α = 90.00°, β = 109.27° and γ = 90.00°. Symmetry generates all atoms from La at (0.0000, 0.0000, 0.0000), Sm at (0.5000, 0.0000, 0.5000), Sm at (0.5000, 0.5000, 0.0000), Pu at (0.0000, 0.5000, 0.5000), Se at (0.2513, 0.0000, 0.7451) and Se at (0.2555, 0.5000, 0.2571).

The calculation puts the calculated volume at 210 Å³/f.u. The calculation puts the energy relative to the elements, uncorrected at -1.802 eV/atom.

=====

[18]
Here is a geometry-optimized La3Sm2PuSe6 structure from the Alexandria database. Energies are from PBE.

It has space group C2/m (No. 12), with a = 7.3281 Å, b = 12.7006 Å, c = 7.3651 Å, α = 90.00°, β = 109.36° and γ = 90.00°. Symmetry generates all atoms from La at (0.0000, 0.0000, 0.0000), La at (0.0000, 0.3322, 0.0000), Sm at (0.0000, 0.1668, 0.5000), Pu at (0.0000, 0.5000, 0.5000), Se at (0.2454, 0.3342, 0.7392) and Se at (0.2484, 0.0000, 0.7398).

The calculation puts the calculated volume at 323 Å³/f.u. The calculation puts the energy relative to the elements, uncorrected at -1.870 eV/atom.

=====

[19]
Here is a geometry-optimized LaSmPu2Se4 structure from the Alexandria database. Energies are from PBE.

It has space group P2/m (No. 10), with a = 7.2489 Å, b = 4.1840 Å, c = 7.2986 Å, α = 90.00°, β = 109.31° and γ = 90.00°. Symmetry generates all atoms from La at (0.0000, 0.0000, 0.0000), Sm at (0.5000, 0.5000, 0.0000), Pu at (0.0000, 0.5000, 0.5000), Pu at (0.5000, 0.0000, 0.5000), Se at (0.2525, 0.0000, 0.7441) and Se at (0.2577, 0.5000, 0.2593).

The calculation puts the calculated volume at 209 Å³/f.u. The calculation puts the energy relative to the elements, uncorrected at -1.729 eV/atom.